(1)
A plane-wave DFT calculation with PBEsol was carried out for a geometry-optimized La2MnSb4 structure.

```
7
Lattice="4.4308 0.0000 0.0000 0.0000 4.4308 0.0000 0.0000 0.0000 9.8832" Properties=species:S:1:pos:R:3 pbc="T T T"
La 0.0000 2.2154 2.4147
La 2.2154 0.0000 7.4685
Mn 2.2154 2.2154 0.0000
Sb 0.0000 0.0000 4.9416
Sb 0.0000 2.2154 8.5263
Sb 2.2154 0.0000 1.3569
Sb 2.2154 2.2154 4.9416
```

Results
spin magnetization	0.6018	μB/atom
raw total energy	-43.5	eV per formula unit
SG	No. 115


(2)
A plane-wave DFT calculation with PBEsol was carried out for a geometry-optimized La4Mn3Sb8 structure.

```
15
Lattice="-3.1025 3.1025 10.1902 3.1025 -3.1025 10.1902 3.1025 3.1025 -10.1902" Properties=species:S:1:pos:R:3 pbc="T T T"
La 1.5555 -1.5555 7.6163
La 1.5469 1.5469 2.5739
La -1.5555 1.5555 7.6163
La 1.5555 1.5555 12.7642
Mn 0.0000 0.0000 0.0000
Mn 3.1025 0.0000 0.0000
Mn 0.0000 3.1025 0.0000
Sb 1.5880 1.5880 -1.4521
Sb 0.0000 0.0000 5.0993
Sb 3.1025 0.0000 5.0951
Sb 1.5144 -1.5144 11.6423
Sb 1.5144 1.5144 8.7381
Sb 0.0000 3.1025 5.0951
Sb 0.0000 0.0000 15.2812
Sb -1.5144 1.5144 11.6423
```

Results
spin magnetization	0.7452	μB/atom
raw total energy	-96.5	eV per formula unit
SG	No. 121


(3)
A plane-wave DFT calculation with PBEsol was carried out for a geometry-optimized La2ScMn structure.

```
4
Lattice="1.7457 1.0079 9.5901 -1.7457 1.0079 9.5901 0.0000 -2.0157 9.5901" Properties=species:S:1:pos:R:3 pbc="T T T"
La 0.0000 0.0000 0.0000
La 0.0000 0.0000 6.4958
Sc 0.0000 0.0000 13.1716
Mn 0.0000 0.0000 21.0267
```

Results
spin magnetization	0.4066	μB/atom
energy of formation from the pure elements	361	meV per atom
SG	No. 160